Entry from the Alexandria database: DyYGeIr after structural relaxation (PBE).

Lattice parameters (Å, degrees): 7.0197 7.0197 7.0197 90.00 90.00 90.00
Last column: nearest neighbours and their distance in Å.
Sites, in units of the cell vectors:
1 Dy 0.0000 0.0000 0.0000  4 Ge 3.04, 4 Ir 3.04
2 Dy 0.0000 0.5000 0.5000  4 Ge 3.04, 4 Ir 3.04
3 Dy 0.5000 0.0000 0.5000  4 Ge 3.04, 4 Ir 3.04
4 Dy 0.5000 0.5000 0.0000  4 Ge 3.04, 4 Ir 3.04
5 Y 0.0000 0.0000 0.5000  4 Ge 3.04, 4 Ir 3.04
6 Y 0.0000 0.5000 0.0000  4 Ge 3.04, 4 Ir 3.04
7 Y 0.5000 0.0000 0.0000  4 Ge 3.04, 4 Ir 3.04
8 Y 0.5000 0.5000 0.5000  4 Ge 3.04, 4 Ir 3.04
9 Ge 0.2500 0.2500 0.2500  4 Dy 3.04, 4 Y 3.04
10 Ge 0.2500 0.7500 0.7500  4 Dy 3.04, 4 Y 3.04
11 Ge 0.7500 0.2500 0.7500  4 Dy 3.04, 4 Y 3.04
12 Ge 0.7500 0.7500 0.2500  4 Dy 3.04, 4 Y 3.04
13 Ir 0.2500 0.2500 0.7500  4 Dy 3.04, 4 Y 3.04
14 Ir 0.2500 0.7500 0.2500  4 Dy 3.04, 4 Y 3.04
15 Ir 0.7500 0.2500 0.2500  4 Dy 3.04, 4 Y 3.04
16 Ir 0.7500 0.7500 0.7500  4 Dy 3.04, 4 Y 3.04

ΔE to the lowest computed polymorph (eV/atom): 0.162
Fermi-level density of states (states/eV/f.u.): 2.64
ΔH_f (0 K) (eV/atom): -0.69
Total energy (eV/atom): -6.830



Entry from the Alexandria database: DyYGeIr after structural relaxation (PBE).

Lattice parameters (Å, degrees): 4.1156 4.1059 10.6192 90.00 90.00 90.00
Last column: nearest neighbours and their distance in Å.
Sites, in units of the cell vectors:
1 Dy 0.0000 0.0000 0.0000  3 Ir 2.96-3.12, 4 Ge 3.00
2 Dy 0.0000 0.5000 0.5000  3 Ir 2.96-3.12, 4 Ge 3.00
3 Y 0.5000 0.0000 0.7190  4 Ir 2.97, 3 Ge 3.05
4 Y 0.5000 0.5000 0.2190  4 Ir 2.97, 3 Ge 3.05
5 Ge 0.5000 0.0000 0.4316  2 Ir 2.62
6 Ge 0.5000 0.5000 0.9316  2 Ir 2.62
7 Ir 0.0000 0.0000 0.2786  2 Ge 2.62
8 Ir 0.0000 0.5000 0.7786  2 Ge 2.62

ΔE to the lowest computed polymorph (eV/atom): 0.000
Fermi-level density of states (states/eV/f.u.): 2.40
ΔH_f (0 K) (eV/atom): -0.86
Total energy (eV/atom): -6.992



Entry from the Alexandria database: Dy2ZnGe4Ir3 after structural relaxation (PBE).

Lattice parameters (Å, degrees): 4.2030 4.2030 10.3664 90.00 90.00 90.00
Last column: nearest neighbours and their distance in Å.
Sites, in units of the cell vectors:
1 Dy 0.0000 0.5000 0.2419  6 Ir 3.20-3.40, 8 Ge 3.22-3.27, 2 Zn 3.40
2 Dy 0.5000 0.0000 0.7581  6 Ir 3.20-3.40, 8 Ge 3.22-3.27, 2 Zn 3.40
3 Zn 0.0000 0.0000 0.5000  4 Ge 2.55
4 Ge 0.0000 0.0000 0.0000  4 Ir 2.48
5 Ge 0.0000 0.5000 0.6393  3 Ir 2.42-2.55, 2 Zn 2.55
6 Ge 0.5000 0.0000 0.3607  3 Ir 2.42-2.55, 2 Zn 2.55
7 Ge 0.5000 0.5000 0.0000  4 Ir 2.48
8 Ir 0.0000 0.5000 0.8726  5 Ge 2.42-2.48
9 Ir 0.5000 0.0000 0.1274  5 Ge 2.42-2.48
10 Ir 0.5000 0.5000 0.5000  4 Ge 2.55

Fermi-level density of states (states/eV/f.u.): 4.78
ΔH_f (0 K) (eV/atom): -0.64
Total energy (eV/atom): -6.195



Entry from the Alexandria database: Dy2ZnGe3Ir4 after structural relaxation (PBE).

Lattice parameters (Å, degrees): 4.1574 4.1574 10.4396 90.00 90.00 90.00
Last column: nearest neighbours and their distance in Å.
Sites, in units of the cell vectors:
1 Dy 0.0000 0.5000 0.2482  8 Ir 3.17-3.32, 6 Ge 3.18-3.35, 2 Zn 3.35
2 Dy 0.5000 0.0000 0.7518  8 Ir 3.17-3.32, 6 Ge 3.18-3.35, 2 Zn 3.35
3 Zn 0.0000 0.0000 0.5000  4 Ir 2.53
4 Ge 0.0000 0.5000 0.8689  5 Ir 2.41-2.49
5 Ge 0.5000 0.0000 0.1311  5 Ir 2.41-2.49
6 Ge 0.5000 0.5000 0.5000  4 Ir 2.53
7 Ir 0.0000 0.0000 0.0000  4 Ge 2.49
8 Ir 0.0000 0.5000 0.6376  3 Ge 2.41-2.53, 2 Zn 2.53
9 Ir 0.5000 0.0000 0.3624  3 Ge 2.41-2.53, 2 Zn 2.53
10 Ir 0.5000 0.5000 0.0000  4 Ge 2.49

Fermi-level density of states (states/eV/f.u.): 6.61
ΔH_f (0 K) (eV/atom): -0.71
Total energy (eV/atom): -6.690



Entry from the Alexandria database: K4Dy3GeO8 after structural relaxation (PBE).

Lattice parameters (Å, degrees): 7.3964 7.3964 7.3964 55.29 55.29 55.29
Last column: nearest neighbours and their distance in Å.
Sites, in units of the cell vectors:
1 K 0.0000 0.0000 0.0000  6 O 2.84
2 K 0.0000 0.5000 0.5000  6 O 2.78-2.79
3 K 0.5000 0.0000 0.5000  6 O 2.78-2.79
4 K 0.5000 0.5000 0.0000  6 O 2.78-2.79
5 Dy 0.0000 0.0000 0.5000  6 O 2.30-2.32
6 Dy 0.0000 0.5000 0.0000  6 O 2.30-2.32
7 Dy 0.5000 0.0000 0.0000  6 O 2.30-2.32
8 Ge 0.5000 0.5000 0.5000  6 O 2.24
9 O 0.2287 0.2287 0.2287  3 Dy 2.30
10 O 0.2376 0.7232 0.7232  1 Ge 2.24, 2 Dy 2.32
11 O 0.2768 0.2768 0.7624  1 Ge 2.24, 2 Dy 2.32
12 O 0.2768 0.7624 0.2768  1 Ge 2.24, 2 Dy 2.32
13 O 0.7232 0.2376 0.7232  1 Ge 2.24, 2 Dy 2.32
14 O 0.7232 0.7232 0.2376  1 Ge 2.24, 2 Dy 2.32
15 O 0.7624 0.2768 0.2768  1 Ge 2.24, 2 Dy 2.32
16 O 0.7713 0.7713 0.7713  3 Dy 2.30

Fermi-level density of states (states/eV/f.u.): 1.57
Energy relative to the elements, uncorrected (meV/atom): -2352.7
Total energy (eV/atom): -6.258



Entry from the Alexandria database: K2Dy2GeO6 after structural relaxation (PBE).

Lattice parameters (Å, degrees): 5.7048 5.7048 6.5983 97.55 97.55 119.51
Last column: nearest neighbours and their distance in Å.
Sites, in units of the cell vectors:
1 K 0.1612 0.8388 0.0000  4 O 2.72-2.76
2 K 0.8388 0.1612 0.0000  4 O 2.72-2.76
3 Dy 0.3344 0.6656 0.5000  6 O 2.27-2.31
4 Dy 0.6656 0.3344 0.5000  6 O 2.27-2.31
5 Ge 0.0000 0.0000 0.5000  6 O 1.95-2.02
6 O 0.0472 0.3480 0.6685  1 Ge 2.02
7 O 0.2346 0.2346 0.3327  1 Ge 1.95
8 O 0.3480 0.0472 0.6685  1 Ge 2.02
9 O 0.6520 0.9528 0.3315  1 Ge 2.02
10 O 0.7654 0.7654 0.6673  1 Ge 1.95
11 O 0.9528 0.6520 0.3315  1 Ge 2.02

Fermi-level density of states (states/eV/f.u.): 0.00
Energy relative to the elements, uncorrected (meV/atom): -2422.5
Total energy (eV/atom): -6.583



Entry from the Alexandria database: K2DyGe2O6 after structural relaxation (PBE).

Lattice parameters (Å, degrees): 5.9936 5.9936 6.9377 116.63 116.63 60.76
Last column: nearest neighbours and their distance in Å.
Sites, in units of the cell vectors:
1 K 0.2058 0.2058 0.1691  7 O 2.89-3.17
2 K 0.7942 0.7942 0.8309  7 O 2.89-3.17
3 Dy 0.0000 0.0000 0.5000  6 O 2.26-2.27
4 Ge 0.4485 0.4485 0.7815  3 O 1.74-1.75
5 Ge 0.5515 0.5515 0.2185  3 O 1.74-1.75
6 O 0.2251 0.7100 0.2407  1 Ge 1.75
7 O 0.2519 0.2519 0.6420  1 Ge 1.74
8 O 0.2900 0.7749 0.7593  1 Ge 1.75
9 O 0.7100 0.2251 0.2407  1 Ge 1.75
10 O 0.7481 0.7481 0.3580  1 Ge 1.74
11 O 0.7749 0.2900 0.7593  1 Ge 1.75

Fermi-level density of states (states/eV/f.u.): 1.48
Energy relative to the elements, uncorrected (meV/atom): -2036.8
Total energy (eV/atom): -6.199



Entry from the Alexandria database: K2DyGe2S6 after structural relaxation (PBE).

Lattice parameters (Å, degrees): 6.6188 6.6188 8.3496 105.82 105.82 66.04
Last column: nearest neighbours and their distance in Å.
Sites, in units of the cell vectors:
1 K 0.1885 0.1885 0.1313  7 S 3.16-3.44
2 K 0.8115 0.8115 0.8687  7 S 3.16-3.44
3 Dy 0.0000 0.0000 0.5000  6 S 2.72-2.77
4 Ge 0.4627 0.4627 0.6300  3 S 2.22
5 Ge 0.5373 0.5373 0.3700  3 S 2.22
6 S 0.1990 0.7122 0.2309  1 Ge 2.22
7 S 0.2513 0.2513 0.5286  1 Ge 2.22
8 S 0.2878 0.8010 0.7691  1 Ge 2.22
9 S 0.7122 0.1990 0.2309  1 Ge 2.22
10 S 0.7487 0.7487 0.4714  1 Ge 2.22
11 S 0.8010 0.2878 0.7691  1 Ge 2.22

Fermi-level density of states (states/eV/f.u.): 5.25
Energy relative to the elements, uncorrected (meV/atom): -911.8
Total energy (eV/atom): -4.621



Entry from the Alexandria database: K2Dy2GeS6 after structural relaxation (PBE).

Lattice parameters (Å, degrees): 6.7132 6.7132 7.8924 98.44 98.44 119.50
Last column: nearest neighbours and their distance in Å.
Sites, in units of the cell vectors:
1 K 0.1710 0.8290 0.0000  6 S 3.21-3.32
2 K 0.8290 0.1710 0.0000  6 S 3.21-3.32
3 Dy 0.3316 0.6684 0.5000  6 S 2.73-2.77
4 Dy 0.6684 0.3316 0.5000  6 S 2.73-2.77
5 Ge 0.0000 0.0000 0.5000  6 S 2.43-2.52
6 S 0.0666 0.3730 0.6913  1 Ge 2.52, 2 Dy 2.73-2.75
7 S 0.2324 0.2324 0.3157  1 Ge 2.43
8 S 0.3730 0.0666 0.6913  1 Ge 2.52, 2 Dy 2.73-2.75
9 S 0.6270 0.9334 0.3087  1 Ge 2.52, 2 Dy 2.73-2.75
10 S 0.7676 0.7676 0.6843  1 Ge 2.43
11 S 0.9334 0.6270 0.3087  1 Ge 2.52, 2 Dy 2.73-2.75

Energy relative to the elements, uncorrected (meV/atom): -1360.0
Total energy (eV/atom): -5.067



Entry from the Alexandria database: KDyGeS4 after structural relaxation (PBE).

Lattice parameters (Å, degrees): 6.5103 6.7123 8.7832 90.00 107.28 90.00
Last column: nearest neighbours and their distance in Å.
Sites, in units of the cell vectors:
1 K 0.2381 0.2500 0.4378  6 S 3.17-3.52
2 K 0.7619 0.7500 0.5622  6 S 3.17-3.52
3 Dy 0.2765 0.2500 0.9489  6 S 2.76-2.84
4 Dy 0.7235 0.7500 0.0511  6 S 2.76-2.84
5 Ge 0.2693 0.7500 0.1701  4 S 2.20-2.24
6 Ge 0.7307 0.2500 0.8299  4 S 2.20-2.24
7 S 0.0604 0.7500 0.9204  1 Ge 2.21
8 S 0.0664 0.7500 0.3303  1 Ge 2.20
9 S 0.4981 0.5043 0.7929  1 Ge 2.24
10 S 0.4981 0.9957 0.7929  1 Ge 2.24
11 S 0.5019 0.0043 0.2071  1 Ge 2.24
12 S 0.5019 0.4957 0.2071  1 Ge 2.24
13 S 0.9336 0.2500 0.6697  1 Ge 2.20
14 S 0.9396 0.2500 0.0796  1 Ge 2.21

Fermi-level density of states (states/eV/f.u.): 0.00
Energy relative to the elements, uncorrected (meV/atom): -1241.9
Total energy (eV/atom): -5.074



How do the records compare in ρ? In the order shown, they have 9.913, 9.555, 11.404, 12.674, 5.504, 5.263, 4.307, 3.038, 3.747, 3.647 g/cm³.